Below is an optimized crystal structure of Ca8Tl2Sn, with properties calculated at the GGA-PBE level.

Cell: 5.3762 8.3266 9.4473 Å, 116.15 106.53 90.00°
Last column: nearest neighbours and their distance in Å.
Fractional coordinates of all 11 atoms:
Ca1 0.0000 0.2975 0.0000  7 Ca 3.37-3.68, 2 Tl 3.47, 2 Sn 3.66
Ca2 0.6557 0.4340 0.3114  3 Tl 3.30-3.41, 1 Sn 3.41, 6 Ca 3.55-3.69
Ca3 0.6557 0.8775 0.3114  3 Tl 3.30-3.41, 1 Sn 3.41, 6 Ca 3.55-3.69
Ca4 0.0000 0.7025 0.0000  7 Ca 3.37-3.68, 2 Tl 3.47, 2 Sn 3.66
Ca5 0.3443 0.1225 0.6886  3 Tl 3.30-3.41, 1 Sn 3.41, 6 Ca 3.55-3.69
Ca6 0.3443 0.5661 0.6886  3 Tl 3.30-3.41, 1 Sn 3.41, 6 Ca 3.55-3.69
Ca7 0.1556 0.1556 0.3113  8 Ca 3.52-3.55, 2 Tl 3.67, 2 Sn 3.67
Ca8 0.8444 0.8444 0.6887  8 Ca 3.52-3.55, 2 Tl 3.67, 2 Sn 3.67
Sn1 0.5000 0.0000 0.0000  12 Ca 3.41-3.67
Tl1 0.1888 0.6888 0.3775  10 Ca 3.30-3.67
Tl2 0.8112 0.3112 0.6225  10 Ca 3.30-3.67

Total magnetic moment (μB per formula unit): 0.00
Space group: No. 71
Volume (A^3/atom): 32.73
Offset from the most stable computed form (eV per formula unit): 0.00
Energy of formation (eV/atom): -0.316


Below is an optimized crystal structure of CaTl2Sn2, with properties calculated at the GGA-PBE level.

Cell: 8.3047 8.3047 4.4190 Å, 90.00 90.00 90.00°
Last column: nearest neighbours and their distance in Å.
Fractional coordinates of all 10 atoms:
Tl1 0.3305 0.1695 0.5000  6 Sn 3.25-3.33
Tl2 0.6695 0.8305 0.5000  6 Sn 3.25-3.33
Tl3 0.1695 0.6695 0.5000  6 Sn 3.25-3.33
Tl4 0.8305 0.3305 0.5000  6 Sn 3.25-3.33
Sn1 0.1271 0.3729 0.0000  1 Sn 2.99, 6 Tl 3.25-3.33, 2 Ca 3.27
Sn2 0.3729 0.8729 0.0000  1 Sn 2.99, 6 Tl 3.25-3.33, 2 Ca 3.27
Sn3 0.8729 0.6271 0.0000  1 Sn 2.99, 6 Tl 3.25-3.33, 2 Ca 3.27
Sn4 0.6271 0.1271 0.0000  1 Sn 2.99, 6 Tl 3.25-3.33, 2 Ca 3.27
Ca1 0.5000 0.5000 0.0000  4 Sn 3.27
Ca2 0.0000 0.0000 0.0000  4 Sn 3.27

Total magnetic moment (μB per formula unit): 0.00
Space group: No. 127
Volume (A^3/atom): 30.48
Offset from the most stable computed form (eV per formula unit): 0.45
Energy of formation (eV/atom): -0.123


Below is an optimized crystal structure of CaTlSn2, with properties calculated at the GGA-PBE level.

Cell: 6.0265 6.0265 6.6754 Å, 90.00 90.00 113.60°
Last column: nearest neighbours and their distance in Å.
Fractional coordinates of all 8 atoms:
Sn1 0.2532 0.2532 0.0000  4 Sn 3.26-3.34, 4 Tl 3.43-3.46, 4 Ca 3.44-3.45
Sn2 0.7468 0.7468 0.5000  4 Sn 3.26-3.34, 4 Tl 3.43-3.46, 4 Ca 3.44-3.45
Sn3 0.7468 0.7468 0.0000  4 Sn 3.26-3.34, 4 Tl 3.43-3.46, 4 Ca 3.44-3.45
Sn4 0.2532 0.2532 0.5000  4 Sn 3.26-3.34, 4 Tl 3.43-3.46, 4 Ca 3.44-3.45
Tl1 0.7530 0.2470 0.7500  4 Ca 3.30-3.34, 8 Sn 3.43-3.46
Tl2 0.2470 0.7530 0.2500  4 Ca 3.30-3.34, 8 Sn 3.43-3.46
Ca1 0.2485 0.7515 0.7500  4 Tl 3.30-3.34, 8 Sn 3.44-3.45
Ca2 0.7515 0.2485 0.2500  4 Tl 3.30-3.34, 8 Sn 3.44-3.45

Total magnetic moment (μB per formula unit): 0.00
Space group: No. 63
Volume (A^3/atom): 27.77
Energy of formation (eV/atom): -0.334


| no. | ρ (Mg/m³) |
| --- | --- |
| 1 | 3.911 |
| 2 | 7.478 |
| 3 | 7.203 |